# 1
Computed, not measured: a relaxed structure of MgGeIN2 at the GGA-PBE level of DFT.

Output
crystal system = tetragonal
energy above the most stable polymorph in this dataset = 321 meV/atom
formation energy without anion corrections = 1.28 eV per atom

```
data_MgGeIN2
_cell_length_a 4.284
_cell_length_b 4.284
_cell_length_c 5.824
_cell_angle_alpha 90.00
_cell_angle_beta 90.00
_cell_angle_gamma 90.00
_symmetry_space_group_name_H-M 'P 4/m m m'
_symmetry_Int_Tables_number 123
_symmetry_space_group_name_Hall '-P 4 2'
loop_
_atom_site_label
_atom_site_fract_x
_atom_site_fract_y
_atom_site_fract_z
Mg1 0.000 0.000 0.000
Ge1 0.500 0.500 0.500
I1 0.000 0.000 0.500
N1 0.000 0.500 0.000
```

# 2
Computed, not measured: a relaxed structure of Sr2TcPtN at the GGA-PBE level of DFT.

Output
crystal system = tetragonal
formation energy without anion corrections = 0.22 eV per atom

```
data_Sr2TcPtN
_cell_length_a 5.522
_cell_length_b 5.522
_cell_length_c 3.782
_cell_angle_alpha 90.00
_cell_angle_beta 90.00
_cell_angle_gamma 90.00
_symmetry_space_group_name_H-M 'P 4/m m m'
_symmetry_Int_Tables_number 123
_symmetry_space_group_name_Hall '-P 4 2'
loop_
_atom_site_label
_atom_site_fract_x
_atom_site_fract_y
_atom_site_fract_z
Sr1 0.000 0.500 0.000
Tc1 0.000 0.000 0.500
Pt1 0.500 0.500 0.500
N1 0.500 0.500 0.000
```

# 3
Computed, not measured: a relaxed structure of NdAl9Pd2 at the GGA-PBE level of DFT.

Output
crystal system = tetragonal
E_form = -0.445 eV per atom

```
data_NdAl9Pd2
_cell_length_a 10.735
_cell_length_b 10.735
_cell_length_c 7.232
_cell_angle_alpha 90.00
_cell_angle_beta 90.00
_cell_angle_gamma 90.00
_symmetry_space_group_name_H-M 'I 41/a m d'
_symmetry_Int_Tables_number 141
loop_
_symmetry_equiv_pos_as_xyz
'x,y,z'
'-x,-y,-z'
'-y+1/4,x+3/4,z+1/4'
'y+1/4,-x+3/4,-z+1/4'
'-x+1/2,-y,z+1/2'
'x+1/2,y,-z+1/2'
'y+1/4,-x+1/4,z+3/4'
'-y+1/4,x+1/4,-z+3/4'
'x,-y,-z'
'-x,y,z'
'-y+1/4,-x+1/4,-z+3/4'
'y+1/4,x+1/4,z+3/4'
'-x+1/2,y,-z+1/2'
'x+1/2,-y,z+1/2'
'y+1/4,x+3/4,-z+1/4'
'-y+1/4,-x+3/4,z+1/4'
'x+1/2,y+1/2,z+1/2'
'-x+1/2,-y+1/2,-z+1/2'
'-y+3/4,x+1/4,z+3/4'
'y+3/4,-x+1/4,-z+3/4'
'-x,-y+1/2,z'
'x,y+1/2,-z'
'y+3/4,-x+3/4,z+1/4'
'-y+3/4,x+3/4,-z+1/4'
'x+1/2,-y+1/2,-z+1/2'
'-x+1/2,y+1/2,z+1/2'
'-y+3/4,-x+3/4,-z+1/4'
'y+3/4,x+3/4,z+1/4'
'-x,y+1/2,-z'
'x,-y+1/2,z'
'y+3/4,x+1/4,-z+3/4'
'-y+3/4,-x+1/4,z+3/4'
loop_
_atom_site_label
_atom_site_fract_x
_atom_site_fract_y
_atom_site_fract_z
Nd1 0.000 0.250 0.375
Al1 0.000 0.250 0.875
Al2 0.122 0.048 0.682
Pd1 0.000 0.000 0.000
```

# 4
Computed, not measured: a relaxed structure of Li4W at the GGA-PBE level of DFT.

Output
crystal system = tetragonal
E_form = 0.466 eV per atom
energy above the most stable polymorph in this dataset = 0 meV/atom

```
data_Li4W
_cell_length_a 7.744
_cell_length_b 7.744
_cell_length_c 2.578
_cell_angle_alpha 90.00
_cell_angle_beta 90.00
_cell_angle_gamma 90.00
_symmetry_space_group_name_H-M 'I 4/m'
_symmetry_Int_Tables_number 87
_symmetry_space_group_name_Hall '-I 4'
loop_
_atom_site_label
_atom_site_fract_x
_atom_site_fract_y
_atom_site_fract_z
Li1 0.120 0.306 0.000
W1 0.000 0.000 0.500
```